# KYRu2O8 PBE relaxed
data_KYRu2O8
_symmetry_space_group_name_H-M 'P -3'
_symmetry_Int_Tables_number 147
_symmetry_space_group_name_Hall '-P 3'
_cell_length_a 5.9594
_cell_length_b 5.9594
_cell_length_c 7.6793
_cell_angle_alpha 90.00
_cell_angle_beta 90.00
_cell_angle_gamma 120.00
loop_
_atom_site_label
_atom_site_type_symbol
_atom_site_fract_x
_atom_site_fract_y
_atom_site_fract_z
K1 K 0.0000 0.0000 0.0000
Y1 Y 0.0000 0.0000 0.5000
Ru1 Ru 0.3333 0.6667 0.7654
O1 O 0.1670 0.3373 0.6862
O2 O 0.3333 0.6667 0.9932
# M_tot (μB per formula unit): 4.0
# Raw total energy (eV/atom): -6.96
# Crystal system: trigonal

=====

# TlGa2Ni2 PBE relaxed
data_TlGa2Ni2
_symmetry_space_group_name_H-M 'P 4/m b m'
_symmetry_Int_Tables_number 127
_symmetry_space_group_name_Hall '-P 4 2ab'
_cell_length_a 7.516
_cell_length_b 7.516
_cell_length_c 2.791
_cell_angle_alpha 90.00
_cell_angle_beta 90.00
_cell_angle_gamma 90.00
loop_
_atom_site_label
_atom_site_type_symbol
_atom_site_fract_x
_atom_site_fract_y
_atom_site_fract_z
Tl1 Tl 0.000 0.000 0.000
Ga1 Ga 0.135 0.365 0.000
Ni1 Ni 0.153 0.653 0.500
# M_tot (μB per formula unit): 0.0
# Raw total energy (eV/atom): -3.99
# Crystal system: tetragonal
# Formation energy from the elements (eV per atom): 0.009
# Energy above the most stable polymorph in this dataset (meV/atom): 55

=====

# TmTl2GeTe4 PBE relaxed
data_TmTl2GeTe4
_symmetry_space_group_name_H-M 'P 1 2/m 1'
_symmetry_Int_Tables_number 10
_symmetry_space_group_name_Hall '-P 2y'
_cell_length_a 7.732
_cell_length_b 4.352
_cell_length_c 8.198
_cell_angle_alpha 90.00
_cell_angle_beta 108.37
_cell_angle_gamma 90.00
loop_
_atom_site_label
_atom_site_type_symbol
_atom_site_fract_x
_atom_site_fract_y
_atom_site_fract_z
Tm1 Tm 0.000 0.000 0.000
Tl1 Tl 0.000 0.500 0.500
Tl2 Tl 0.500 0.000 0.500
Ge1 Ge 0.500 0.500 0.000
Te1 Te 0.242 0.500 0.211
Te2 Te 0.262 0.000 0.789
# M_tot (μB per formula unit): 0.0
# Raw total energy (eV/atom): -3.85
# Crystal system: monoclinic

=====

# HRhI2N PBE relaxed
data_HRhI2N
_symmetry_space_group_name_H-M 'P 4/m m m'
_symmetry_Int_Tables_number 123
_symmetry_space_group_name_Hall '-P 4 2'
_cell_length_a 5.712
_cell_length_b 5.712
_cell_length_c 3.653
_cell_angle_alpha 90.00
_cell_angle_beta 90.00
_cell_angle_gamma 90.00
loop_
_atom_site_label
_atom_site_type_symbol
_atom_site_fract_x
_atom_site_fract_y
_atom_site_fract_z
H1 H 0.000 0.000 0.000
Rh1 Rh 0.500 0.500 0.500
I1 I 0.000 0.500 0.500
N1 N 0.500 0.500 0.000
# M_tot (μB per formula unit): 0.9
# Raw total energy (eV/atom): -3.62
# Crystal system: tetragonal
# Energy above the most stable polymorph in this dataset (meV/atom): 0

=====

# In4Ru3 PBE relaxed
data_In4Ru3
_symmetry_space_group_name_H-M 'P 6/m m m'
_symmetry_Int_Tables_number 191
_symmetry_space_group_name_Hall '-P 6 2'
_cell_length_a 5.4367
_cell_length_b 5.4367
_cell_length_c 5.1920
_cell_angle_alpha 90.00
_cell_angle_beta 90.00
_cell_angle_gamma 120.00
loop_
_atom_site_label
_atom_site_type_symbol
_atom_site_fract_x
_atom_site_fract_y
_atom_site_fract_z
In1 In 0.0000 0.0000 0.2486
In2 In 0.3333 0.6667 0.5000
Ru1 Ru 0.0000 0.5000 0.0000
# M_tot (μB per formula unit): 3.0
# Raw total energy (eV/atom): -5.27
# Crystal system: hexagonal
# Formation energy from the elements (eV per atom): 0.273

=====

# YMg2Cu4 PBE relaxed
data_YMg2Cu4
_symmetry_space_group_name_H-M 'I 4/m c m'
_symmetry_Int_Tables_number 140
_symmetry_space_group_name_Hall '-I 4 2c'
_cell_length_a 7.666
_cell_length_b 7.666
_cell_length_c 8.226
_cell_angle_alpha 90.00
_cell_angle_beta 90.00
_cell_angle_gamma 90.00
loop_
_atom_site_label
_atom_site_type_symbol
_atom_site_fract_x
_atom_site_fract_y
_atom_site_fract_z
Y1 Y 0.000 0.000 0.250
Mg1 Mg 0.157 0.343 0.000
Cu1 Cu 0.142 0.358 0.329
# M_tot (μB per formula unit): 0.0
# Raw total energy (eV/atom): -3.86
# Crystal system: tetragonal
# Formation energy from the elements (eV per atom): -0.141
# Energy above the most stable polymorph in this dataset (meV/atom): 41

=====

# NaAsS2Cl PBE relaxed
data_NaAsS2Cl
_symmetry_space_group_name_H-M 'P 4/m m m'
_symmetry_Int_Tables_number 123
_symmetry_space_group_name_Hall '-P 4 2'
_cell_length_a 5.098
_cell_length_b 5.098
_cell_length_c 4.751
_cell_angle_alpha 90.00
_cell_angle_beta 90.00
_cell_angle_gamma 90.00
loop_
_atom_site_label
_atom_site_type_symbol
_atom_site_fract_x
_atom_site_fract_y
_atom_site_fract_z
Na1 Na 0.000 0.000 0.000
As1 As 0.500 0.500 0.500
S1 S 0.000 0.500 0.000
Cl1 Cl 0.000 0.000 0.500
# M_tot (μB per formula unit): 1.0
# Raw total energy (eV/atom): -2.50
# Crystal system: tetragonal
# Energy above the most stable polymorph in this dataset (meV/atom): 1034

=====

# Al2SbMo PBE relaxed
data_Al2SbMo
_symmetry_space_group_name_H-M 'R -3 m'
_symmetry_Int_Tables_number 166
_symmetry_space_group_name_Hall '-R 3 2"'
_cell_length_a 3.1291
_cell_length_b 3.1291
_cell_length_c 26.6085
_cell_angle_alpha 90.00
_cell_angle_beta 90.00
_cell_angle_gamma 120.00
loop_
_atom_site_label
_atom_site_type_symbol
_atom_site_fract_x
_atom_site_fract_y
_atom_site_fract_z
Al1 Al 0.0000 0.0000 0.2409
Sb1 Sb 0.0000 0.0000 0.0000
Mo1 Mo 0.0000 0.0000 0.5000
# M_tot (μB per formula unit): 0.9
# Raw total energy (eV/atom): -5.41
# Crystal system: trigonal

=====

# PaMnAlV PBE relaxed
data_PaMnAlV
_symmetry_space_group_name_H-M 'F -4 3 m'
_symmetry_Int_Tables_number 216
_symmetry_space_group_name_Hall 'F -4 2 3'
_cell_length_a 6.311
_cell_length_b 6.311
_cell_length_c 6.311
_cell_angle_alpha 90.00
_cell_angle_beta 90.00
_cell_angle_gamma 90.00
loop_
_atom_site_label
_atom_site_type_symbol
_atom_site_fract_x
_atom_site_fract_y
_atom_site_fract_z
Pa1 Pa 0.000 0.000 0.000
Mn1 Mn 0.250 0.250 0.750
Al1 Al 0.000 0.000 0.500
V1 V 0.250 0.250 0.250
# M_tot (μB per formula unit): 0.0
# Raw total energy (eV/atom): -8.00
# Crystal system: cubic
# Formation energy from the elements (eV per atom): -0.118

=====

# Ac2NiGe3 PBE relaxed
data_Ac2NiGe3
_symmetry_space_group_name_H-M 'P m m 2'
_symmetry_Int_Tables_number 25
_symmetry_space_group_name_Hall 'P 2 -2'
_cell_length_a 4.346
_cell_length_b 4.553
_cell_length_c 7.408
_cell_angle_alpha 90.00
_cell_angle_beta 90.00
_cell_angle_gamma 90.00
loop_
_atom_site_label
_atom_site_type_symbol
_atom_site_fract_x
_atom_site_fract_y
_atom_site_fract_z
Ac1 Ac 0.000 0.000 0.000
Ac2 Ac 0.500 0.000 0.497
Ni1 Ni 0.500 0.500 0.180
Ge1 Ge 0.000 0.500 0.312
Ge2 Ge 0.000 0.500 0.662
Ge3 Ge 0.500 0.500 0.859
# M_tot (μB per formula unit): 0.0
# Raw total energy (eV/atom): -5.34
# Crystal system: orthorhombic
# Formation energy from the elements (eV per atom): -0.703
# Energy above the most stable polymorph in this dataset (meV/atom): 24

=====

# Hf7Sb2N2 PBE relaxed
data_Hf7Sb2N2
_symmetry_space_group_name_H-M 'C 1 2/m 1'
_symmetry_Int_Tables_number 12
_symmetry_space_group_name_Hall '-C 2y'
_cell_length_a 6.940
_cell_length_b 10.129
_cell_length_c 7.218
_cell_angle_alpha 90.00
_cell_angle_beta 101.96
_cell_angle_gamma 90.00
loop_
_atom_site_label
_atom_site_type_symbol
_atom_site_fract_x
_atom_site_fract_y
_atom_site_fract_z
Hf1 Hf 0.000 0.000 0.000
Hf2 Hf 0.092 0.500 0.819
Hf3 Hf 0.203 0.293 0.177
Sb1 Sb 0.000 0.306 0.500
N1 N 0.218 0.500 0.123
# M_tot (μB per formula unit): 0.0
# Raw total energy (eV/atom): -9.12
# Crystal system: monoclinic

=====

# Tm3HfAs4 PBE relaxed
data_Tm3HfAs4
_symmetry_space_group_name_H-M 'C m m m'
_symmetry_Int_Tables_number 65
_symmetry_space_group_name_Hall '-C 2 2'
_cell_length_a 8.004
_cell_length_b 11.280
_cell_length_c 3.989
_cell_angle_alpha 90.00
_cell_angle_beta 90.00
_cell_angle_gamma 90.00
loop_
_atom_site_label
_atom_site_type_symbol
_atom_site_fract_x
_atom_site_fract_y
_atom_site_fract_z
Tm1 Tm 0.000 0.000 0.000
Tm2 Tm 0.250 0.250 0.500
Hf1 Hf 0.000 0.500 0.000
As1 As 0.000 0.255 0.000
As2 As 0.240 0.500 0.500
# M_tot (μB per formula unit): 0.0
# Raw total energy (eV/atom): -6.63
# Crystal system: orthorhombic
# Formation energy from the elements (eV per atom): -1.380

=====

# BaBe2Au2 PBE relaxed
data_BaBe2Au2
_symmetry_space_group_name_H-M 'I 4/m m m'
_symmetry_Int_Tables_number 139
_symmetry_space_group_name_Hall '-I 4 2'
_cell_length_a 4.183
_cell_length_b 4.183
_cell_length_c 12.035
_cell_angle_alpha 90.00
_cell_angle_beta 90.00
_cell_angle_gamma 90.00
loop_
_atom_site_label
_atom_site_type_symbol
_atom_site_fract_x
_atom_site_fract_y
_atom_site_fract_z
Ba1 Ba 0.000 0.000 0.000
Be1 Be 0.000 0.500 0.250
Au1 Au 0.000 0.000 0.342
# M_tot (μB per formula unit): 0.0
# Raw total energy (eV/atom): -3.46
# Crystal system: tetragonal
# Formation energy from the elements (eV per atom): -0.276
# Energy above the most stable polymorph in this dataset (meV/atom): 0

=====

# AsOs2Rh PBE relaxed
data_AsOs2Rh
_symmetry_space_group_name_H-M 'C 1 m 1'
_symmetry_Int_Tables_number 8
_symmetry_space_group_name_Hall 'C -2y'
_cell_length_a 9.026
_cell_length_b 2.848
_cell_length_c 4.622
_cell_angle_alpha 90.00
_cell_angle_beta 92.26
_cell_angle_gamma 90.00
loop_
_atom_site_label
_atom_site_type_symbol
_atom_site_fract_x
_atom_site_fract_y
_atom_site_fract_z
As1 As 0.000 0.000 0.000
Os1 Os 0.015 0.500 0.527
Os2 Os 0.283 0.500 0.324
Rh1 Rh 0.246 0.000 0.812
# M_tot (μB per formula unit): 0.0
# Raw total energy (eV/atom): -8.35
# Crystal system: monoclinic
# Formation energy from the elements (eV per atom): 0.263

=====

# CuOs2Se PBE relaxed
data_CuOs2Se
_symmetry_space_group_name_H-M 'I -4 2 d'
_symmetry_Int_Tables_number 122
_symmetry_space_group_name_Hall 'I -4 2bw'
_cell_length_a 3.765
_cell_length_b 3.765
_cell_length_c 18.001
_cell_angle_alpha 90.00
_cell_angle_beta 90.00
_cell_angle_gamma 90.00
loop_
_atom_site_label
_atom_site_type_symbol
_atom_site_fract_x
_atom_site_fract_y
_atom_site_fract_z
Cu1 Cu 0.000 0.000 0.000
Os1 Os 0.218 0.250 0.125
Se1 Se 0.000 0.000 0.500
# M_tot (μB per formula unit): 0.0
# Raw total energy (eV/atom): -6.66
# Crystal system: tetragonal

=====

# Ho2PtCl PBE relaxed
data_Ho2PtCl
_symmetry_space_group_name_H-M 'R 3 m'
_symmetry_Int_Tables_number 160
_symmetry_space_group_name_Hall 'R 3 -2"'
_cell_length_a 4.0344
_cell_length_b 4.0344
_cell_length_c 22.5710
_cell_angle_alpha 90.00
_cell_angle_beta 90.00
_cell_angle_gamma 120.00
loop_
_atom_site_label
_atom_site_type_symbol
_atom_site_fract_x
_atom_site_fract_y
_atom_site_fract_z
Ho1 Ho 0.0000 0.0000 0.0000
Ho2 Ho 0.0000 0.0000 0.2017
Pt1 Pt 0.0000 0.0000 0.6001
Cl1 Cl 0.0000 0.0000 0.4266
# M_tot (μB per formula unit): 0.0
# Raw total energy (eV/atom): -5.58
# Crystal system: trigonal
# Energy above the most stable polymorph in this dataset (meV/atom): 54

=====

# B3TeI PBE relaxed
data_B3TeI
_symmetry_space_group_name_H-M 'P m -3 m'
_symmetry_Int_Tables_number 221
_symmetry_space_group_name_Hall '-P 4 2 3'
_cell_length_a 4.622
_cell_length_b 4.622
_cell_length_c 4.622
_cell_angle_alpha 90.00
_cell_angle_beta 90.00
_cell_angle_gamma 90.00
loop_
_atom_site_label
_atom_site_type_symbol
_atom_site_fract_x
_atom_site_fract_y
_atom_site_fract_z
B1 B 0.000 0.000 0.500
Te1 Te 0.000 0.000 0.000
I1 I 0.500 0.500 0.500
# M_tot (μB per formula unit): 0.0
# Raw total energy (eV/atom): -2.79
# Crystal system: cubic
# Energy above the most stable polymorph in this dataset (meV/atom): 0

=====

# LiPuPtO5 PBE relaxed
data_LiPuPtO5
_symmetry_space_group_name_H-M 'C 1 2/c 1'
_symmetry_Int_Tables_number 15
_symmetry_space_group_name_Hall '-C 2yc'
_cell_length_a 6.556
_cell_length_b 9.241
_cell_length_c 7.819
_cell_angle_alpha 90.00
_cell_angle_beta 108.35
_cell_angle_gamma 90.00
loop_
_atom_site_label
_atom_site_type_symbol
_atom_site_fract_x
_atom_site_fract_y
_atom_site_fract_z
Li1 Li 0.000 0.048 0.250
Pu1 Pu 0.250 0.250 0.000
Pt1 Pt 0.000 0.434 0.250
O1 O 0.000 0.355 0.750
O2 O 0.019 0.188 0.071
O3 O 0.247 0.074 0.835
# M_tot (μB per formula unit): 1.0
# Raw total energy (eV/atom): -7.55
# Crystal system: monoclinic